1.
## CrGaNi2N (PBE)

Data for CrGaNi2N after structural relaxation.

a b c (Å): 3.7933 3.7933 3.7892
angles (deg): 90.00 90.00 90.00
Closest atoms and distances in Å follow each position.
Fractional coordinates of all 5 atoms:
Ga 0.5000 0.5000 0.5000  8 Ni 2.68, 4 Cr 2.68
Ni 0.5000 0.0000 0.0000  2 N 1.90
Ni 0.0000 0.5000 0.0000  2 N 1.90
N 0.0000 0.0000 0.0000  2 Cr 1.89, 4 Ni 1.90
Cr 0.0000 0.0000 0.5000  2 N 1.89

Space-group type: No. 123
Formation energy (no corrections) in eV/atom: -0.231

=====

2.
## BaMg2Pb (PBE)

Data for BaMg2Pb after structural relaxation.

a b c (Å): 4.8340 4.8340 11.5217
angles (deg): 90.00 90.00 90.00
Closest atoms and distances in Å follow each position.
Fractional coordinates of all 8 atoms:
Ba 0.0000 0.5000 0.7572  5 Mg 3.54-3.82, 4 Pb 3.60
Ba 0.5000 0.0000 0.2428  5 Mg 3.54-3.82, 4 Pb 3.60
Mg 0.0000 0.5000 0.0646  1 Pb 3.18, 1 Ba 3.54
Mg 0.5000 0.0000 0.9354  1 Pb 3.18, 1 Ba 3.54
Mg 0.5000 0.5000 0.5000  4 Pb 3.03
Mg 0.0000 0.0000 0.5000  4 Pb 3.03
Pb 0.5000 0.0000 0.6592  5 Mg 3.03-3.18
Pb 0.0000 0.5000 0.3408  5 Mg 3.03-3.18

Formation energy from the elements in eV per atom: -0.26
Space-group type: No. 129

=====

3.
## Ho4Ir3Pd (PBE)

Data for Ho4Ir3Pd after structural relaxation.

a b c (Å): 4.7880 7.0340 9.5750
angles (deg): 90.00 90.00 90.00
Closest atoms and distances in Å follow each position.
Fractional coordinates of all 16 atoms:
Pd 0.0000 0.5000 0.0000  8 Ho 2.98
Pd 0.0000 0.5000 0.5000  8 Ho 2.98
Ho 0.5000 0.7534 0.0000  6 Ir 2.96-2.98, 2 Pd 2.98
Ho 0.9998 0.7534 0.2500  6 Ir 2.96-2.98, 2 Pd 2.98
Ho 0.5000 0.7534 0.5000  6 Ir 2.96-2.98, 2 Pd 2.98
Ho 0.9998 0.2466 0.2500  6 Ir 2.96-2.98, 2 Pd 2.98
Ho 0.0002 0.2466 0.7500  6 Ir 2.96-2.98, 2 Pd 2.98
Ho 0.0002 0.7534 0.7500  6 Ir 2.96-2.98, 2 Pd 2.98
Ho 0.5000 0.2466 0.5000  6 Ir 2.96-2.98, 2 Pd 2.98
Ho 0.5000 0.2466 0.0000  6 Ir 2.96-2.98, 2 Pd 2.98
Ir 0.0000 0.0000 0.5000  8 Ho 2.96
Ir 0.4996 0.0000 0.2500  8 Ho 2.96
Ir 0.5004 0.0000 0.7500  8 Ho 2.96
Ir 0.5002 0.5000 0.7500  8 Ho 2.98
Ir 0.0000 0.0000 0.0000  8 Ho 2.96
Ir 0.4998 0.5000 0.2500  8 Ho 2.98

Formation energy from the elements in eV per atom: -0.89
Space-group type: No. 123

=====

4.
## NaAl2Ni2 (PBE)

Data for NaAl2Ni2 after structural relaxation.

a b c (Å): 7.3221 7.3221 2.6684
angles (deg): 90.00 90.00 90.00
Closest atoms and distances in Å follow each position.
Fractional coordinates of all 10 atoms:
Na 0.0000 0.0000 0.0000  2 Na 2.67, 4 Ni 2.80
Na 0.5000 0.5000 0.0000  2 Na 2.67, 4 Ni 2.80
Al 0.1440 0.6440 0.5000  6 Ni 2.52-2.54, 2 Al 2.67
Al 0.8560 0.3560 0.5000  6 Ni 2.52-2.54, 2 Al 2.67
Al 0.3560 0.1440 0.5000  6 Ni 2.52-2.54, 2 Al 2.67
Al 0.6440 0.8560 0.5000  6 Ni 2.52-2.54, 2 Al 2.67
Ni 0.1474 0.3526 0.0000  6 Al 2.52-2.54, 2 Ni 2.67, 2 Na 2.80
Ni 0.3526 0.8526 0.0000  6 Al 2.52-2.54, 2 Ni 2.67, 2 Na 2.80
Ni 0.8526 0.6474 0.0000  6 Al 2.52-2.54, 2 Ni 2.67, 2 Na 2.80
Ni 0.6474 0.1474 0.0000  6 Al 2.52-2.54, 2 Ni 2.67, 2 Na 2.80

Formation energy from the elements in eV per atom: -0.33
Space-group type: No. 127

=====

5.
## Dy5Ho2In (PBE)

Data for Dy5Ho2In after structural relaxation.

a b c (Å): 8.2474 7.0732 7.0308
angles (deg): 120.21 129.47 90.00
Closest atoms and distances in Å follow each position.
Fractional coordinates of all 8 atoms:
Dy 0.7225 0.2612 0.0225  2 In 3.43, 4 Ho 3.46-3.56, 6 Dy 3.48-3.56
Dy 0.2217 0.1952 0.8631  6 Dy 3.34-3.73, 4 Ho 3.38-3.63, 2 In 3.43-3.61
Dy 0.7220 0.7609 0.0218  2 In 3.43, 4 Ho 3.46-3.56, 6 Dy 3.48-3.56
Dy 0.7527 0.7805 0.5606  1 In 3.35, 8 Dy 3.37-3.56, 3 Ho 3.54-3.55
Dy 0.2215 0.6682 0.8634  6 Dy 3.34-3.73, 4 Ho 3.38-3.63, 2 In 3.43-3.60
In 0.2227 0.1861 0.3721  3 Ho 3.34-3.54, 9 Dy 3.35-3.61
Ho 0.2223 0.6753 0.3512  9 Dy 3.40-3.63, 2 In 3.54, 1 Ho 3.55
Ho 0.6917 0.2497 0.4993  1 In 3.34, 10 Dy 3.38-3.56, 1 Ho 3.55

Formation energy from the elements in eV per atom: -0.11
Space-group type: No. 8

=====

6.
## In2GaCl8 (PBE)

Data for In2GaCl8 after structural relaxation.

a b c (Å): 6.4300 7.9380 7.9380
angles (deg): 75.00 85.20 85.20
Closest atoms and distances in Å follow each position.
Fractional coordinates of all 11 atoms:
Cl 0.7598 0.6155 0.6155  1 In 2.33
Cl 0.7828 0.7186 0.0886  1 In 2.44, 1 Ga 2.64
Cl 0.7828 0.0886 0.7186  1 In 2.44, 1 Ga 2.64
Cl 0.2701 0.8236 0.8236  1 In 2.43, 1 Ga 2.67
Cl 0.2172 0.2814 0.9114  1 In 2.44, 1 Ga 2.64
Cl 0.2402 0.3845 0.3845  1 In 2.33
Cl 0.2172 0.9114 0.2814  1 In 2.44, 1 Ga 2.64
Cl 0.7299 0.1764 0.1764  1 In 2.43, 1 Ga 2.67
In 0.3502 0.2025 0.2025  4 Cl 2.33-2.44
In 0.6498 0.7975 0.7975  4 Cl 2.33-2.44
Ga 0.0000 0.0000 0.0000  6 Cl 2.64-2.67

Space-group type: No. 12
Formation energy (no corrections) in eV/atom: -0.933

=====

Copy entry 2 word for word.
## BaMg2Pb (PBE)

Data for BaMg2Pb after structural relaxation.

a b c (Å): 4.8340 4.8340 11.5217
angles (deg): 90.00 90.00 90.00
Closest atoms and distances in Å follow each position.
Fractional coordinates of all 8 atoms:
Ba 0.0000 0.5000 0.7572  5 Mg 3.54-3.82, 4 Pb 3.60
Ba 0.5000 0.0000 0.2428  5 Mg 3.54-3.82, 4 Pb 3.60
Mg 0.0000 0.5000 0.0646  1 Pb 3.18, 1 Ba 3.54
Mg 0.5000 0.0000 0.9354  1 Pb 3.18, 1 Ba 3.54
Mg 0.5000 0.5000 0.5000  4 Pb 3.03
Mg 0.0000 0.0000 0.5000  4 Pb 3.03
Pb 0.5000 0.0000 0.6592  5 Mg 3.03-3.18
Pb 0.0000 0.5000 0.3408  5 Mg 3.03-3.18

Formation energy from the elements in eV per atom: -0.26
Space-group type: No. 129

=====

Repeat the third record exactly.
## Ho4Ir3Pd (PBE)

Data for Ho4Ir3Pd after structural relaxation.

a b c (Å): 4.7880 7.0340 9.5750
angles (deg): 90.00 90.00 90.00
Closest atoms and distances in Å follow each position.
Fractional coordinates of all 16 atoms:
Pd 0.0000 0.5000 0.0000  8 Ho 2.98
Pd 0.0000 0.5000 0.5000  8 Ho 2.98
Ho 0.5000 0.7534 0.0000  6 Ir 2.96-2.98, 2 Pd 2.98
Ho 0.9998 0.7534 0.2500  6 Ir 2.96-2.98, 2 Pd 2.98
Ho 0.5000 0.7534 0.5000  6 Ir 2.96-2.98, 2 Pd 2.98
Ho 0.9998 0.2466 0.2500  6 Ir 2.96-2.98, 2 Pd 2.98
Ho 0.0002 0.2466 0.7500  6 Ir 2.96-2.98, 2 Pd 2.98
Ho 0.0002 0.7534 0.7500  6 Ir 2.96-2.98, 2 Pd 2.98
Ho 0.5000 0.2466 0.5000  6 Ir 2.96-2.98, 2 Pd 2.98
Ho 0.5000 0.2466 0.0000  6 Ir 2.96-2.98, 2 Pd 2.98
Ir 0.0000 0.0000 0.5000  8 Ho 2.96
Ir 0.4996 0.0000 0.2500  8 Ho 2.96
Ir 0.5004 0.0000 0.7500  8 Ho 2.96
Ir 0.5002 0.5000 0.7500  8 Ho 2.98
Ir 0.0000 0.0000 0.0000  8 Ho 2.96
Ir 0.4998 0.5000 0.2500  8 Ho 2.98

Formation energy from the elements in eV per atom: -0.89
Space-group type: No. 123